This record from the Alexandria database describes an optimized crystal structure of Pu2Al3Zn4Cd. The functional is GGA-PBE.

Values from the calculation:
total magnetic moment = 11.03 μB per cell
ρ = 7.94 Mg/m³
energy of formation from the pure elements = -0.129 eV per atom

Geometry as CIF:
```
data_Pu2Al3Zn4Cd
_chemical_formula_sum 'Pu2 Al3 Zn4 Cd1'
_cell_length_a 4.247
_cell_length_b 4.247
_cell_length_c 10.934
_cell_angle_alpha 90.00
_cell_angle_beta 90.00
_cell_angle_gamma 90.00
_symmetry_space_group_name_H-M 'P -4 m 2'
_symmetry_Int_Tables_number 115
loop_
_symmetry_equiv_pos_as_xyz
'x,y,z'
'y,-x,-z'
'-x,-y,z'
'-y,x,-z'
'-x,y,z'
'-y,-x,-z'
'x,-y,z'
'y,x,-z'
loop_
_atom_site_label
_atom_site_fract_x
_atom_site_fract_y
_atom_site_fract_z
_atom_site_occupancy
Pu1 0.000 0.500 0.238 1
Al1 0.000 0.500 0.869 1
Al2 0.500 0.500 0.500 1
Zn1 0.000 0.000 0.000 1
Zn2 0.000 0.500 0.646 1
Zn3 0.500 0.500 0.000 1
Cd1 0.000 0.000 0.500 1
```